[1]
VASP calculation (GGA-PBE) on a relaxed ScReAg crystal.

Unit cell a=4.7679 b=4.7679 c=2.6497 alpha=90.00 beta=90.00 gamma=120.00
Space group P3m1 (No. 156)
Symmetry-distinct sites (fractional):
Sc 0.0000 0.0000 0.0000 x1
Re 0.3333 0.6667 0.5858 x1
Ag 0.6667 0.3333 0.2111 x1

Computed properties:
Its formation energy is 0.347 eV per atom.



[2]
VASP calculation (GGA-PBE) on a relaxed ZnRePt2 crystal.

Unit cell a=5.519 b=7.882 c=2.749 alpha=90.00 beta=90.00 gamma=90.00
Space group Cmmm (No. 65)
Symmetry-distinct sites (fractional):
Zn 0.000 0.000 0.000 x2
Re 0.000 0.500 0.000 x2
Pt 0.250 0.250 0.500 x4

Computed properties:
Its formation energy is -0.165 eV per atom.



[3]
VASP calculation (GGA-PBE) on a relaxed InCuSN2 crystal.

Unit cell a=3.813 b=3.813 c=5.325 alpha=90.00 beta=90.00 gamma=90.00
Space group P4/mmm (No. 123)
Symmetry-distinct sites (fractional):
In 0.000 0.000 0.000 x1
Cu 0.500 0.500 0.500 x1
S 0.500 0.500 0.000 x1
N 0.000 0.500 0.500 x2

Computed properties:
The uncorrected formation energy comes out at 1232 meV/atom.



[4]
VASP calculation (GGA-PBE) on a relaxed Ho2PtPb crystal.

Unit cell a=3.9388 b=3.9388 c=24.7320 alpha=90.00 beta=90.00 gamma=120.00
Space group R-3m (No. 166, hexagonal axes)
Symmetry-distinct sites (fractional):
Ho 0.0000 0.0000 0.2325 x6
Pt 0.0000 0.0000 0.5000 x3
Pb 0.0000 0.0000 0.0000 x3

Computed properties:
Its formation energy is -0.772 eV per atom.



[5]
VASP calculation (GGA-PBE) on a relaxed BaInSe2S crystal.

Unit cell a=5.360 b=5.360 c=5.128 alpha=90.00 beta=90.00 gamma=90.00
Space group P4/mmm (No. 123)
Symmetry-distinct sites (fractional):
Ba 0.000 0.000 0.000 x1
In 0.500 0.500 0.500 x1
Se 0.000 0.500 0.500 x2
S 0.500 0.500 0.000 x1

Computed properties:
The uncorrected formation energy comes out at -835 meV/atom.



[6]
VASP calculation (GGA-PBE) on a relaxed RbRu2I crystal.

Unit cell a=6.840 b=6.840 c=6.840 alpha=90.00 beta=90.00 gamma=90.00
Space group Fm-3m (No. 225)
Symmetry-distinct sites (fractional):
Rb 0.000 0.000 0.000 x4
Ru 0.250 0.250 0.250 x8
I 0.000 0.000 0.500 x4

Computed properties:
The uncorrected formation energy comes out at 1484 meV/atom.



[7]
VASP calculation (GGA-PBE) on a relaxed Cd2ReW crystal.

Unit cell a=7.632 b=7.632 c=5.346 alpha=90.00 beta=90.00 gamma=90.00
Space group I-42d (No. 122)
Symmetry-distinct sites (fractional):
Cd 0.245 0.750 0.125 x8
Re 0.000 0.000 0.000 x4
W 0.000 0.000 0.500 x4

Computed properties:
Its formation energy is 1.451 eV per atom.



[8]
VASP calculation (GGA-PBE) on a relaxed Ac2ScRh crystal.

Unit cell a=3.6964 b=3.6964 c=32.9116 alpha=90.00 beta=90.00 gamma=120.00
Space group R-3m (No. 166, hexagonal axes)
Symmetry-distinct sites (fractional):
Ac 0.0000 0.0000 0.0799 x6
Sc 0.0000 0.0000 0.5000 x3
Rh 0.0000 0.0000 0.0000 x3

Computed properties:
Its formation energy is 0.377 eV per atom.



[9]
VASP calculation (GGA-PBE) on a relaxed La8Al2Ga crystal.

Unit cell a=18.622 b=5.221 c=7.596 alpha=90.00 beta=111.09 gamma=90.00
Space group C2/m (No. 12)
Symmetry-distinct sites (fractional):
La 0.009 0.000 0.262 x4
La 0.093 0.500 0.951 x4
La 0.161 0.500 0.444 x4
La 0.203 0.000 0.792 x4
Al 0.177 0.000 0.194 x4
Ga 0.000 0.500 0.500 x2

Computed properties:
Its formation energy is -0.241 eV per atom.



[10]
VASP calculation (GGA-PBE) on a relaxed CePuCu4 crystal.

Unit cell a=7.432 b=7.432 c=7.432 alpha=90.00 beta=90.00 gamma=90.00
Space group F-43m (No. 216)
Symmetry-distinct sites (fractional):
Ce 0.000 0.000 0.000 x4
Pu 0.250 0.250 0.750 x4
Cu 0.125 0.125 0.375 x16

Computed properties:
Its formation energy is -0.052 eV per atom.



[11]
VASP calculation (GGA-PBE) on a relaxed NaCoAsSe2 crystal.

Unit cell a=5.071 b=5.071 c=4.944 alpha=90.00 beta=90.00 gamma=90.00
Space group P4/mmm (No. 123)
Symmetry-distinct sites (fractional):
Na 0.000 0.000 0.000 x1
Co 0.500 0.500 0.500 x1
As 0.000 0.000 0.500 x1
Se 0.000 0.500 0.000 x2

Computed properties:
The uncorrected formation energy comes out at 1258 meV/atom.



[12]
VASP calculation (GGA-PBE) on a relaxed AgP3N crystal.

Unit cell a=4.151 b=4.151 c=4.151 alpha=90.00 beta=90.00 gamma=90.00
Space group Pm-3m (No. 221)
Symmetry-distinct sites (fractional):
Ag 0.000 0.000 0.000 x1
P 0.000 0.500 0.500 x3
N 0.500 0.500 0.500 x1

Computed properties:
The uncorrected formation energy comes out at 969 meV/atom.



[13]
VASP calculation (GGA-PBE) on a relaxed BaHoGa2 crystal.

Unit cell a=3.8435 b=3.8435 c=28.1943 alpha=90.00 beta=90.00 gamma=120.00
Space group R-3m (No. 166, hexagonal axes)
Symmetry-distinct sites (fractional):
Ba 0.0000 0.0000 0.0000 x3
Ho 0.0000 0.0000 0.5000 x3
Ga 0.0000 0.0000 0.2407 x6

Computed properties:
Its formation energy is -0.176 eV per atom.



[14]
VASP calculation (GGA-PBE) on a relaxed Cs4AsF crystal.

Unit cell a=10.457 b=17.536 c=7.911 alpha=90.00 beta=127.99 gamma=90.00
Space group C2/c (No. 15)
Symmetry-distinct sites (fractional):
Cs 0.138 0.204 0.134 x8
Cs 0.248 0.472 0.274 x8
As 0.000 0.368 0.750 x4
F 0.000 0.074 0.250 x4

Computed properties:
The uncorrected formation energy comes out at -1027 meV/atom.



[15]
VASP calculation (GGA-PBE) on a relaxed Ta2ReRh crystal.

Unit cell a=3.370 b=4.624 c=8.427 alpha=90.00 beta=90.00 gamma=90.00
Space group Immm (No. 71)
Symmetry-distinct sites (fractional):
Ta 0.000 0.000 0.248 x4
Re 0.000 0.500 0.500 x2
Rh 0.000 0.500 0.000 x2

Computed properties:
Its formation energy is -0.170 eV per atom.



[16]
VASP calculation (GGA-PBE) on a relaxed DyEr2Tm crystal.

Unit cell a=6.870 b=6.857 c=10.820 alpha=90.00 beta=90.02 gamma=90.00
Space group P2/c (No. 13)
Symmetry-distinct sites (fractional):
Dy 0.125 0.125 0.388 x4
Er 0.126 0.376 0.888 x4
Er 0.376 0.126 0.112 x4
Tm 0.375 0.375 0.613 x4

Computed properties:
Its formation energy is 0.216 eV per atom.



[17]
VASP calculation (GGA-PBE) on a relaxed CeY2Ga9 crystal.

Unit cell a=4.297 b=4.297 c=12.908 alpha=90.00 beta=90.00 gamma=90.00
Space group P4/mmm (No. 123)
Symmetry-distinct sites (fractional):
Ce 0.000 0.000 0.000 x1
Y 0.000 0.000 0.335 x2
Ga 0.000 0.500 0.168 x4
Ga 0.000 0.500 0.500 x2
Ga 0.500 0.500 0.000 x1
Ga 0.500 0.500 0.333 x2

Computed properties:
Its formation energy is -0.533 eV per atom.



[18]
VASP calculation (GGA-PBE) on a relaxed K2MoH6 crystal.

Unit cell a=8.408 b=8.408 c=8.408 alpha=90.00 beta=90.00 gamma=90.00
Space group Fm-3m (No. 225)
Symmetry-distinct sites (fractional):
K 0.250 0.250 0.250 x8
Mo 0.000 0.000 0.000 x4
H 0.000 0.000 0.218 x24

Computed properties:
The total energy comes out at -3.4766 eV/atom.



[19]
VASP calculation (GGA-PBE) on a relaxed CaCrNi2H8 crystal.

Unit cell a=4.5854 b=4.5854 c=15.9111 alpha=90.00 beta=90.00 gamma=120.00
Space group R-3 (No. 148, hexagonal axes)
Symmetry-distinct sites (fractional):
Ca 0.0000 0.0000 0.0000 x3
Cr 0.0000 0.0000 0.5000 x3
Ni 0.0000 0.0000 0.2043 x6
H 0.0000 0.0000 0.3029 x6
H 0.0043 0.7012 0.1165 x18

Computed properties:
The total energy comes out at -4.2282 eV/atom.



[20]
VASP calculation (GGA-PBE) on a relaxed FeAg2Te crystal.

Unit cell a=4.217 b=4.217 c=8.425 alpha=90.00 beta=90.00 gamma=90.00
Space group I-4m2 (No. 119)
Symmetry-distinct sites (fractional):
Fe 0.000 0.000 0.000 x2
Ag 0.000 0.000 0.500 x2
Ag 0.000 0.500 0.250 x2
Te 0.000 0.500 0.750 x2

Computed properties:
The uncorrected formation energy comes out at 371 meV/atom.



[21]
VASP calculation (GGA-PBE) on a relaxed Rb8S2O crystal.

Unit cell a=25.400 b=4.710 c=8.966 alpha=90.00 beta=107.76 gamma=90.00
Space group C2/m (No. 12)
Symmetry-distinct sites (fractional):
Rb 0.020 0.000 0.217 x4
Rb 0.107 0.500 0.001 x4
Rb 0.182 0.500 0.442 x4
Rb 0.213 0.000 0.835 x4
S 0.203 0.000 0.209 x4
O 0.000 0.500 0.000 x2

Computed properties:
The uncorrected formation energy comes out at -747 meV/atom.



[22]
VASP calculation (GGA-PBE) on a relaxed GeH3F8 crystal.

Unit cell a=4.531 b=14.189 c=5.435 alpha=90.00 beta=90.31 gamma=90.00
Space group P2_1 (No. 4)
Symmetry-distinct sites (fractional):
Ge 0.112 0.000 0.367 x2
H 0.153 0.824 0.654 x2
H 0.193 0.258 0.154 x2
H 0.402 0.423 0.805 x2
F 0.013 0.574 0.875 x2
F 0.072 0.761 0.687 x2
F 0.145 0.544 0.405 x2
F 0.151 0.405 0.728 x2
F 0.268 0.921 0.593 x2
F 0.374 0.261 0.055 x2
F 0.377 0.940 0.132 x2
F 0.397 0.088 0.425 x2

Computed properties:
The total energy comes out at -4.1684 eV/atom.



[23]
VASP calculation (GGA-PBE) on a relaxed Ce2Al3 crystal.

Unit cell a=6.375 b=8.082 c=8.763 alpha=90.00 beta=90.00 gamma=90.00
Space group Pbcn (No. 60)
Symmetry-distinct sites (fractional):
Ce 0.110 0.182 0.107 x8
Al 0.000 0.160 0.750 x4
Al 0.127 0.477 0.872 x8

Computed properties:
Its formation energy is -0.293 eV per atom.



[24]
VASP calculation (GGA-PBE) on a relaxed Cd8CuAg5 crystal.

Unit cell a=8.008 b=8.008 c=9.122 alpha=90.00 beta=90.00 gamma=90.00
Space group I-4 (No. 82)
Symmetry-distinct sites (fractional):
Cd 0.067 0.326 0.424 x8
Cd 0.100 0.168 0.745 x8
Cu 0.000 0.000 0.500 x2
Ag 0.000 0.500 0.750 x2
Ag 0.114 0.202 0.073 x8

Computed properties:
Its formation energy is 0.059 eV per atom.